A geometry-optimized SmDyMnAl structure. Source: Alexandria, functional GGA-PBE.

```
SmDyMnAl
1.0
-4.382 2.350 -1.267
-4.050 -0.255 3.141
-1.514 4.170 2.579
Al Sm Mn Dy
1 1 1 1
Cartesian
-4.973 3.132 2.226
-7.459 4.699 3.339
0.000 0.000 0.000
-2.486 1.566 1.113
```

Values from the calculation:
Final energy   -5.608 eV per atom
DFT formation energy   -4.81 kJ/mol of atoms
SG   F-43m, No. 216
N(E_F)   4.51 states/eV/cell